The following is a PBE calculation of a relaxed structure of Sm2Y3TmTe6, from Alexandria.

Output
crystal system	monoclinic
M_tot	0.0	μB/f.u.
symmetry	C2/m (12)
calculated volume	357.4	Å³/cell
E_tot	-5.659	eV/atom

a = 4.3544 Å, b = 8.8046 Å, c = 9.7979 Å
α = 102.32°, β = 102.84°, γ = 90.00°
Positions (direct):
Sm: 0.8284 0.6632 0.6569
Sm: 0.1716 0.3368 0.3431
Y: 0.5000 0.5000 0.0000
Y: 0.8264 0.1659 0.6528
Y: 0.1736 0.8341 0.3472
Tm: 0.5000 0.0000 0.0000
Te: 0.3382 0.9244 0.6765
Te: 0.6625 0.5856 0.3250
Te: 0.6618 0.0756 0.3235
Te: 0.9977 0.2444 0.9954
Te: 0.0023 0.7556 0.0046
Te: 0.3375 0.4144 0.6750

The following is a PBE calculation of a relaxed structure of Sm4YTm3Te8, from Alexandria.

Output
crystal system	trigonal
M_tot	0.0	μB/f.u.
symmetry	R-3m (166)
calculated volume	476.0	Å³/cell
E_tot	-5.288	eV/atom

a = 8.6609 Å, b = 8.8711 Å, c = 8.6608 Å
α = 119.22°, β = 120.00°, γ = 90.00°
Positions (direct):
Sm: 0.5000 0.0000 0.0000
Sm: 0.5000 0.0000 0.5000
Sm: 0.0000 0.0000 0.0000
Sm: 0.0000 0.0000 0.5000
Y: 0.0000 0.5000 0.0000
Tm: 0.5000 0.5000 0.0000
Tm: 0.5000 0.5000 0.5000
Tm: 0.0000 0.5000 0.5000
Te: 0.2477 0.7388 0.9912
Te: 0.2476 0.7388 0.4952
Te: 0.2543 0.2631 0.5087
Te: 0.7435 0.7388 0.9912
Te: 0.2565 0.2612 0.0088
Te: 0.7457 0.7369 0.4913
Te: 0.7524 0.2612 0.5048
Te: 0.7523 0.2612 0.0088

The following is a PBE calculation of a relaxed structure of Sm3YTm2Te6, from Alexandria.

Output
crystal system	monoclinic
M_tot	0.0	μB/f.u.
symmetry	C2/m (12)
calculated volume	357.6	Å³/cell
E_tot	-5.339	eV/atom

a = 4.3422 Å, b = 8.8578 Å, c = 9.8498 Å
α = 104.22°, β = 102.73°, γ = 90.00°
Positions (direct):
Sm: 0.5000 0.5000 0.0000
Sm: 0.8360 0.1679 0.6720
Sm: 0.1640 0.8321 0.3280
Y: 0.5000 0.0000 0.0000
Tm: 0.8347 0.6691 0.6693
Tm: 0.1653 0.3309 0.3307
Te: 0.3335 0.9088 0.6670
Te: 0.6701 0.5759 0.3403
Te: 0.6665 0.0912 0.3330
Te: 0.0036 0.2473 0.0072
Te: 0.9964 0.7527 0.9928
Te: 0.3299 0.4241 0.6597

The following is a PBE calculation of a relaxed structure of Sm3YTm3Te8, from Alexandria.

Output
crystal system	trigonal
M_tot	0.0	μB/f.u.
symmetry	R-3m (166)
calculated volume	468.2	Å³/cell
E_tot	-5.309	eV/atom

a = 8.7037 Å, b = 8.7038 Å, c = 8.7281 Å
α = 119.91°, β = 90.00°, γ = 120.00°
Positions (direct):
Sm: 0.0000 0.0000 0.0000
Sm: 0.0000 0.5000 0.0000
Sm: 0.5000 0.5000 0.0000
Y: 0.0000 0.0000 0.5000
Tm: 0.5000 0.0000 0.5000
Tm: 0.5000 0.5000 0.5000
Tm: 0.0000 0.5000 0.5000
Te: 0.2539 0.5077 0.2616
Te: 0.7461 0.4923 0.7384
Te: 0.7451 0.4901 0.2529
Te: 0.2549 0.5099 0.7471
Te: 0.7451 0.0078 0.2529
Te: 0.2549 0.9922 0.7471
Te: 0.2628 0.0078 0.2529
Te: 0.7372 0.9922 0.7471

The following is a PBE calculation of a relaxed structure of Sm2YTmTe6, from Alexandria.

Output
crystal system	trigonal
M_tot	0.0	μB/f.u.
symmetry	R3 (146)
calculated volume	367.7	Å³/cell
E_tot	-5.289	eV/atom

a = 7.7619 Å, b = 7.7619 Å, c = 8.3519 Å
α = 62.31°, β = 62.31°, γ = 60.00°
Positions (direct):
Sm: 0.5120 0.5120 0.4639
Sm: 0.0117 0.0117 0.9649
Y: 0.8238 0.8238 0.5287
Tm: 0.3242 0.3242 0.0274
Te: 0.5949 0.2214 0.2537
Te: 0.2214 0.9300 0.2537
Te: 0.9300 0.5949 0.2537
Te: 0.4265 0.7184 0.7564
Te: 0.7184 0.0987 0.7564
Te: 0.0987 0.4265 0.7564

The following is a PBE calculation of a relaxed structure of Sm3Y3TmTe8, from Alexandria.

Output
crystal system	trigonal
M_tot	0.0	μB/f.u.
symmetry	R-3m (166)
calculated volume	477.0	Å³/cell
E_tot	-5.606	eV/atom

a = 8.7600 Å, b = 8.7601 Å, c = 8.7807 Å
α = 119.92°, β = 90.00°, γ = 120.00°
Positions (direct):
Sm: 0.0000 0.0000 0.0000
Sm: 0.0000 0.5000 0.0000
Sm: 0.5000 0.5000 0.0000
Y: 0.5000 0.0000 0.5000
Y: 0.5000 0.5000 0.5000
Y: 0.0000 0.5000 0.5000
Tm: 0.0000 0.0000 0.5000
Te: 0.2521 0.5043 0.2564
Te: 0.7479 0.4957 0.7436
Te: 0.7491 0.4981 0.2533
Te: 0.2509 0.5019 0.7467
Te: 0.7491 0.0043 0.2534
Te: 0.2509 0.9957 0.7466
Te: 0.2552 0.0043 0.2534
Te: 0.7448 0.9957 0.7466

The following is a PBE calculation of a relaxed structure of SmU2Te4, from Alexandria.

Output
crystal system	orthorhombic
M_tot	6.5	μB/f.u.
symmetry	Cmcm (63)
calculated volume	459.9	Å³/cell
E_tot	-6.475	eV/atom

a = 4.2077 Å, b = 7.4235 Å, c = 15.3526 Å
α = 90.00°, β = 90.00°, γ = 106.46°
Last column: magnetic moment on the atom in μB.
Positions (direct):
Sm: 0.6105 0.2209 0.7500  0.06
Sm: 0.3895 0.7791 0.2500  0.06
U: 0.1421 0.2843 0.4368  2.83
U: 0.8579 0.7157 0.9368  2.83
U: 0.1421 0.2843 0.0632  2.83
U: 0.8579 0.7157 0.5632  2.83
Te: 0.7849 0.5697 0.1287  -0.05
Te: 0.7849 0.5697 0.3713  -0.05
Te: 0.2151 0.4303 0.8713  -0.05
Te: 0.2151 0.4303 0.6287  -0.05
Te: 0.9457 0.8915 0.7500  -0.04
Te: 0.0543 0.1085 0.2500  -0.04
Te: 0.5000 0.0000 0.0000  -0.07
Te: 0.5000 0.0000 0.5000  -0.07

The following is a PBE calculation of a relaxed structure of Sm2UTe6, from Alexandria.

Output
crystal system	tetragonal
M_tot	0.4	μB/f.u.
symmetry	P4_2/mnm (136)
calculated volume	715.2	Å³/cell
E_tot	-5.254	eV/atom

a = 7.3187 Å, b = 7.3187 Å, c = 13.3522 Å
α = 90.00°, β = 90.00°, γ = 90.00°
Last column: magnetic moment on the atom in μB.
Positions (direct):
Sm: 0.0000 0.0000 0.3344  -0.01
Sm: 0.5000 0.5000 0.8344  -0.01
Sm: 0.5000 0.5000 0.1656  -0.01
Sm: 0.0000 0.0000 0.6656  -0.01
U: 0.0000 0.0000 0.0000  0.81
U: 0.5000 0.5000 0.5000  0.81
Te: 0.3026 0.3026 0.3428  -0.04
Te: 0.6974 0.6974 0.3428  -0.04
Te: 0.1974 0.8026 0.8428  -0.04
Te: 0.8026 0.1974 0.8428  -0.04
Te: 0.1974 0.8026 0.1572  -0.04
Te: 0.8026 0.1974 0.1572  -0.04
Te: 0.3026 0.3026 0.6572  -0.04
Te: 0.6974 0.6974 0.6572  -0.04
Te: 0.2873 0.2873 0.0000  -0.04
Te: 0.7127 0.7127 0.0000  -0.04
Te: 0.2127 0.7873 0.5000  -0.04
Te: 0.7873 0.2127 0.5000  -0.04